Li3TlZn at its PBEsol-relaxed geometry, computed with SCAN. Values from VASP.

The structure in Quantum ESPRESSO input format:
```
&SYSTEM
  ibrav = 0, nat = 5, ntyp = 3
/
ATOMIC_SPECIES
Tl 204.38 Tl.upf
Li 6.94 Li.upf
Zn 65.41 Zn.upf
ATOMIC_POSITIONS angstrom
Tl 2.353 2.353 2.353
Li 0.000 0.000 2.353
Li 2.353 0.000 0.000
Zn 0.000 0.000 0.000
Li 0.000 2.353 0.000
CELL_PARAMETERS angstrom
4.706 0.000 0.000
0.000 4.706 0.000
0.000 0.000 4.706
```

Computed properties:
The calculated volume is 20.84 Å³/atom. Its energy is -18.5480 eV/atom. The calculation puts the total magnetic moment at 0.000 μB/f.u. The calculation puts the formation energy from the elements at 61 meV per atom. As for the space-group type: Pm-3m (221).

OsRuS2N at its PBEsol-relaxed geometry, computed with SCAN. Values from VASP.

The structure in Quantum ESPRESSO input format:
```
&SYSTEM
  ibrav = 0, nat = 5, ntyp = 4
/
ATOMIC_SPECIES
Os 190.23 Os.upf
S 32.06 S.upf
N 14.01 N.upf
Ru 101.07 Ru.upf
ATOMIC_POSITIONS angstrom
Os 0.000 0.000 0.000
S 0.000 0.000 2.338
N 1.802 0.000 0.000
S 0.000 2.338 0.000
Ru 1.802 2.338 2.338
CELL_PARAMETERS angstrom
3.604 0.000 0.000
0.000 4.676 0.000
0.000 0.000 4.676
```

Computed properties:
The calculated volume is 15.76 Å³/atom. As for the formation energy without anion corrections: 0.94 eV per atom. Its energy is -26.1100 eV/atom. The calculation puts the total magnetic moment at 2.117 μB/f.u. As for the space-group type: P4/mmm (123).

KTlSb2 at its PBEsol-relaxed geometry, computed with SCAN. Values from VASP.

The structure in Quantum ESPRESSO input format:
```
&SYSTEM
  ibrav = 0, nat = 4, ntyp = 3
/
ATOMIC_SPECIES
Sb 121.76 Sb.upf
K 39.10 K.upf
Tl 204.38 Tl.upf
ATOMIC_POSITIONS angstrom
Sb -1.672 -1.962 2.126
K 0.331 -4.540 4.476
Sb 0.250 -0.321 0.293
Tl 1.731 -2.227 2.030
CELL_PARAMETERS angstrom
-2.286 1.142 3.202
-2.719 -2.930 -0.896
3.763 -4.841 4.413
```

Computed properties:
The value obtained for the energy above the most stable polymorph in this dataset is 0.000 eV per atom. The calculated volume is 31.69 Å³/atom. As for the formation energy without anion corrections: -0.21 eV per atom. Its energy is -39.0082 eV/atom. The calculation puts the total magnetic moment at 0.000 μB/f.u. As for the space-group type: P4mm (99).

AlP2Cl at its PBEsol-relaxed geometry, computed with SCAN. Values from VASP.

The structure in Quantum ESPRESSO input format:
```
&SYSTEM
  ibrav = 0, nat = 4, ntyp = 3
/
ATOMIC_SPECIES
P 30.97 P.upf
Al 26.98 Al.upf
Cl 35.45 Cl.upf
ATOMIC_POSITIONS angstrom
P 0.000 3.883 0.335
Al 0.000 1.569 1.915
Cl 2.020 0.077 2.934
P 2.020 2.998 0.939
CELL_PARAMETERS angstrom
4.040 0.000 0.000
0.000 4.343 0.021
0.000 -1.562 4.052
```

Computed properties:
The value obtained for the energy above the most stable polymorph in this dataset is 0.270 eV per atom. The calculated volume is 17.80 Å³/atom. As for the formation energy without anion corrections: 0.00 eV per atom. Its energy is -9.1352 eV/atom. The calculation puts the total magnetic moment at 0.000 μB/f.u. As for the space-group type: Amm2 (38).

Cu5As at its PBEsol-relaxed geometry, computed with SCAN. Values from VASP.

The structure in Quantum ESPRESSO input format:
```
&SYSTEM
  ibrav = 0, nat = 6, ntyp = 2
/
ATOMIC_SPECIES
Cu 63.55 Cu.upf
As 74.92 As.upf
ATOMIC_POSITIONS angstrom
Cu -4.389 -0.092 -0.638
Cu -2.451 3.554 -0.770
Cu -2.145 1.079 -0.952
Cu -3.735 1.957 0.731
As -5.877 3.051 -0.221
Cu -2.244 -1.117 0.318
CELL_PARAMETERS angstrom
-0.446 0.141 -2.657
-3.595 -2.755 1.828
-1.879 5.682 0.616
```

Computed properties:
The calculated volume is 12.21 Å³/atom. Its energy is -15.9708 eV/atom. The calculation puts the total magnetic moment at 0.000 μB/f.u. The calculation puts the formation energy from the elements at 60 meV per atom. As for the space-group type: Cm (8).

LaHg2 at its PBEsol-relaxed geometry, computed with SCAN. Values from VASP.

The structure in Quantum ESPRESSO input format:
```
&SYSTEM
  ibrav = 0, nat = 6, ntyp = 2
/
ATOMIC_SPECIES
Hg 200.59 Hg.upf
La 138.91 La.upf
ATOMIC_POSITIONS angstrom
Hg 2.631 1.519 4.898
Hg 0.000 3.038 1.633
Hg 0.000 0.000 0.000
La 0.000 3.038 4.898
Hg 0.000 0.000 3.266
La 2.631 1.519 1.633
CELL_PARAMETERS angstrom
5.261 0.000 0.000
-2.631 4.556 0.000
0.000 0.000 6.531
```

Computed properties:
The calculated volume is 26.09 Å³/atom. Its energy is -60.4706 eV/atom. The calculation puts the total magnetic moment at 0.000 μB/f.u. The calculation puts the formation energy from the elements at -658 meV per atom. As for the space-group type: P6_3/mmc (194).

P2IrRu at its PBEsol-relaxed geometry, computed with SCAN. Values from VASP.

The structure in Quantum ESPRESSO input format:
```
&SYSTEM
  ibrav = 0, nat = 4, ntyp = 3
/
ATOMIC_SPECIES
P 30.97 P.upf
Ir 192.22 Ir.upf
Ru 101.07 Ru.upf
ATOMIC_POSITIONS angstrom
P -0.681 -0.985 2.082
Ir -1.362 1.318 2.071
P -0.681 2.303 -0.010
Ru 0.000 0.000 0.000
CELL_PARAMETERS angstrom
2.862 -0.007 -0.012
-1.362 4.605 -0.020
-1.362 -1.969 4.163
```

Computed properties:
The value obtained for the energy above the most stable polymorph in this dataset is 0.265 eV per atom. The calculated volume is 13.65 Å³/atom. Its energy is -31.3570 eV/atom. The calculation puts the total magnetic moment at 0.000 μB/f.u. The calculation puts the formation energy from the elements at 324 meV per atom. As for the space-group type: C2/m (12).

Nb3SeBr at its PBEsol-relaxed geometry, computed with SCAN. Values from VASP.

The structure in Quantum ESPRESSO input format:
```
&SYSTEM
  ibrav = 0, nat = 5, ntyp = 3
/
ATOMIC_SPECIES
Se 78.96 Se.upf
Br 79.90 Br.upf
Nb 92.91 Nb.upf
ATOMIC_POSITIONS angstrom
Se 0.000 0.000 0.000
Br 2.385 2.385 2.385
Nb 0.000 0.000 2.385
Nb 2.385 0.000 0.000
Nb 0.000 2.385 0.000
CELL_PARAMETERS angstrom
4.770 0.000 0.000
0.000 4.770 0.000
0.000 0.000 4.770
```

Computed properties:
The calculated volume is 21.71 Å³/atom. As for the formation energy without anion corrections: 0.94 eV per atom. Its energy is -26.8462 eV/atom. The calculation puts the total magnetic moment at 0.000 μB/f.u. As for the space-group type: Pm-3m (221).